A plane-wave DFT calculation with PBE with a Hubbard U was carried out for a geometry-optimized Mn2GeO5 structure.

Calculated values
Relative energy among the computed polymorphs = 0.0 meV/atom
SG = C2/c

abc: 7.482 7.482 10.173
angles: 115.61 115.61 51.11
Element x y z (fractional)
Mn  0.015  0.268  0.355
Mn  0.191  0.706  0.995
Mn  0.268  0.015  0.855
Mn  0.294  0.809  0.505
Mn  0.706  0.191  0.495
Mn  0.732  0.985  0.145
Mn  0.809  0.294  0.005
Mn  0.985  0.732  0.645
Ge  0.211  0.435  0.193
Ge  0.435  0.211  0.693
Ge  0.565  0.789  0.307
Ge  0.789  0.565  0.807
O  0.033  0.353  0.195
O  0.045  0.683  0.114
O  0.098  0.867  0.606
O  0.133  0.902  0.894
O  0.213  0.405  0.574
O  0.317  0.955  0.386
O  0.353  0.033  0.695
O  0.360  0.503  0.375
O  0.405  0.213  0.074
O  0.497  0.640  0.125
O  0.503  0.360  0.875
O  0.595  0.787  0.926
O  0.640  0.497  0.625
O  0.647  0.967  0.305
O  0.683  0.045  0.614
O  0.787  0.595  0.426
O  0.867  0.098  0.106
O  0.902  0.133  0.394
O  0.955  0.317  0.886
O  0.967  0.647  0.805